(1)
LiTl2Ge: optimized geometry, GGA-PBEsol.

Unit cell a=5.0454 b=5.0454 c=5.0454 alpha=60.00 beta=60.00 gamma=60.00
Element x y z (fractional)
Li1 0.0000 0.0000 0.0000
Tl1 0.2500 0.2500 0.2500
Tl2 0.7500 0.7500 0.7500
Ge1 0.5000 0.5000 0.5000

Properties
As for the total energy: -3.042 eV per atom. As for the symmetry: Fm-3m (225).

***

(2)
LiYGe: optimized geometry, GGA-PBEsol.

Unit cell a=6.9759 b=6.9759 c=4.2190 alpha=90.00 beta=90.00 gamma=120.00
Element x y z (fractional)
Li1 0.0000 0.2326 0.0000
Li2 0.2326 0.0000 0.0000
Li3 0.7674 0.7674 0.0000
Y1 0.0000 0.5738 0.5000
Y2 0.4262 0.4262 0.5000
Y3 0.5738 0.0000 0.5000
Ge1 0.0000 0.0000 0.5000
Ge2 0.3333 0.6667 0.0000
Ge3 0.6667 0.3333 0.0000

Properties
As for the total energy: -5.342 eV per atom. As for the symmetry: P-62m (189).

***

(3)
Li8Zn2Ge3: optimized geometry, GGA-PBEsol.

Unit cell a=9.0956 b=9.0956 c=9.0956 alpha=48.26 beta=48.26 gamma=48.26
Element x y z (fractional)
Li1 0.0469 0.6994 0.3403
Li2 0.1597 0.8006 0.4531
Li3 0.1983 0.1983 0.1983
Li4 0.1994 0.5469 0.8403
Li5 0.3006 0.6597 0.9531
Li6 0.3017 0.3017 0.3017
Li7 0.3403 0.0469 0.6994
Li8 0.4531 0.1597 0.8006
Li9 0.5469 0.8403 0.1994
Li10 0.6597 0.9531 0.3006
Li11 0.6983 0.6983 0.6983
Li12 0.6994 0.3403 0.0469
Li13 0.8006 0.4531 0.1597
Li14 0.8017 0.8017 0.8017
Li15 0.8403 0.1994 0.5469
Li16 0.9531 0.3006 0.6597
Zn1 0.0809 0.0809 0.0809
Zn2 0.4191 0.4191 0.4191
Zn3 0.5809 0.5809 0.5809
Zn4 0.9191 0.9191 0.9191
Ge1 0.0738 0.4262 0.7500
Ge2 0.2500 0.9262 0.5738
Ge3 0.4262 0.7500 0.0738
Ge4 0.5738 0.2500 0.9262
Ge5 0.7500 0.0738 0.4262
Ge6 0.9262 0.5738 0.2500

Properties
As for the total energy: -2.955 eV per atom. As for the symmetry: R-3c (167).

***

(4)
LiZn2Ge2: optimized geometry, GGA-PBEsol.

Unit cell a=6.0810 b=6.0810 c=6.0810 alpha=140.85 beta=140.85 gamma=56.57
Element x y z (fractional)
Li1 0.0000 0.0000 0.0000
Zn1 0.2500 0.7500 0.5000
Zn2 0.7500 0.2500 0.5000
Ge1 0.3883 0.3883 0.0000
Ge2 0.6117 0.6117 0.0000

Properties
As for the relative energy among the computed polymorphs: 0.000 eV/atom. As for the symmetry: I4/mmm (139).

***

(5)
Li2ZrGe: optimized geometry, GGA-PBEsol.

Unit cell a=10.6702 b=10.6702 c=10.6702 alpha=159.51 beta=159.51 gamma=29.14
Element x y z (fractional)
Li1 0.0948 0.6250 0.9698
Li2 0.3750 0.3448 0.4698
Li3 0.6552 0.1250 0.0302
Li4 0.8750 0.9052 0.5302
Zr1 0.2500 0.7500 0.5000
Zr2 0.5000 0.5000 0.0000
Ge1 0.0000 0.0000 0.0000
Ge2 0.7500 0.2500 0.5000

Properties
As for the total energy: -4.657 eV per atom. As for the symmetry: I-42d (122).

***

(6)
Li2ZrGe2: optimized geometry, GGA-PBEsol.

Unit cell a=6.3239 b=6.3239 c=6.3239 alpha=145.59 beta=145.59 gamma=49.46
Element x y z (fractional)
Li1 0.2500 0.7500 0.5000
Li2 0.7500 0.2500 0.5000
Zr1 0.0000 0.0000 0.0000
Ge1 0.3954 0.3954 0.0000
Ge2 0.6046 0.6046 0.0000

Properties
As for the total energy: -5.051 eV per atom. As for the symmetry: I4/mmm (139).

***

(7)
LuMn6Ge6: optimized geometry, GGA-PBEsol.

Unit cell a=5.0674 b=5.0674 c=7.9992 alpha=90.00 beta=90.00 gamma=120.00
Element x y z (fractional)
Lu1 0.0000 0.0000 0.0000
Mn1 0.0000 0.5000 0.2497
Mn2 0.0000 0.5000 0.7503
Mn3 0.5000 0.0000 0.2497
Mn4 0.5000 0.0000 0.7503
Mn5 0.5000 0.5000 0.2497
Mn6 0.5000 0.5000 0.7503
Ge1 0.0000 0.0000 0.3430
Ge2 0.0000 0.0000 0.6570
Ge3 0.3333 0.6667 0.0000
Ge4 0.3333 0.6667 0.5000
Ge5 0.6667 0.3333 0.0000
Ge6 0.6667 0.3333 0.5000

Properties
As for the total energy: -7.502 eV per atom. As for the symmetry: P6/mmm (191).

***

(8)
LuNiGe: optimized geometry, GGA-PBEsol.

Unit cell a=6.6402 b=4.1253 c=7.0969 alpha=90.00 beta=90.00 gamma=90.00
Element x y z (fractional)
Lu1 0.0078 0.2500 0.2056
Lu2 0.4922 0.7500 0.7056
Lu3 0.5078 0.2500 0.2944
Lu4 0.9922 0.7500 0.7944
Ni1 0.1932 0.7500 0.4183
Ni2 0.3068 0.2500 0.9183
Ni3 0.6932 0.7500 0.0817
Ni4 0.8068 0.2500 0.5817
Ge1 0.1971 0.2500 0.5893
Ge2 0.3029 0.7500 0.0893
Ge3 0.6971 0.2500 0.9107
Ge4 0.8029 0.7500 0.4107

Properties
As for the total energy: -6.197 eV per atom. As for the symmetry: Pnma (62).

***

(9)
Lu3Ni2Ge3: optimized geometry, GGA-PBEsol.

Unit cell a=5.3744 b=5.3744 c=13.6340 alpha=90.00 beta=90.00 gamma=135.19
Element x y z (fractional)
Lu1 0.0860 0.9140 0.6096
Lu2 0.0860 0.9140 0.8904
Lu3 0.3639 0.6361 0.7500
Lu4 0.6361 0.3639 0.2500
Lu5 0.9140 0.0860 0.1096
Lu6 0.9140 0.0860 0.3904
Ni1 0.2024 0.7976 0.1007
Ni2 0.2024 0.7976 0.3993
Ni3 0.7976 0.2024 0.6007
Ni4 0.7976 0.2024 0.8993
Ge1 0.3396 0.6604 0.2500
Ge2 0.3771 0.6229 0.5379
Ge3 0.3771 0.6229 0.9621
Ge4 0.6229 0.3771 0.0379
Ge5 0.6229 0.3771 0.4621
Ge6 0.6604 0.3396 0.7500

Properties
As for the total energy: -6.100 eV per atom. As for the symmetry: Cmcm (63).

***

(10)
Lu4Ge6Os7: optimized geometry, GGA-PBEsol.

Unit cell a=7.1008 b=7.1008 c=7.1008 alpha=109.47 beta=109.47 gamma=109.47
Element x y z (fractional)
Lu1 0.0000 0.0000 0.5000
Lu2 0.0000 0.5000 0.0000
Lu3 0.5000 0.0000 0.0000
Lu4 0.5000 0.5000 0.5000
Ge1 0.0000 0.3081 0.3081
Ge2 0.0000 0.6919 0.6919
Ge3 0.3081 0.0000 0.3081
Ge4 0.3081 0.3081 0.0000
Ge5 0.6919 0.0000 0.6919
Ge6 0.6919 0.6919 0.0000
Os1 0.0000 0.0000 0.0000
Os2 0.2500 0.5000 0.7500
Os3 0.2500 0.7500 0.5000
Os4 0.5000 0.2500 0.7500
Os5 0.5000 0.7500 0.2500
Os6 0.7500 0.2500 0.5000
Os7 0.7500 0.5000 0.2500

Properties
As for the total energy: -8.407 eV per atom. As for the symmetry: Im-3m (229).

***

(11)
LuGePd: optimized geometry, GGA-PBEsol.

Unit cell a=10.9774 b=10.9774 c=10.9774 alpha=157.47 beta=46.23 gamma=140.19
Element x y z (fractional)
Lu1 0.0000 0.0000 0.0000
Lu2 0.2535 0.0861 0.1673
Lu3 0.3393 0.0059 0.3335
Lu4 0.5826 0.0826 0.5000
Lu5 0.6724 0.0059 0.6665
Lu6 0.9188 0.0861 0.8327
Ge1 0.1274 0.3899 0.7374
Ge2 0.1348 0.7007 0.4341
Ge3 0.2666 0.7007 0.5659
Ge4 0.6105 0.7034 0.9071
Ge5 0.6525 0.3899 0.2626
Ge6 0.7964 0.7034 0.0929
Pd1 0.2996 0.3717 0.9279
Pd2 0.4438 0.3717 0.0721
Pd3 0.4873 0.7181 0.7691
Pd4 0.7708 0.3760 0.3948
Pd5 0.9490 0.7181 0.2309
Pd6 0.9812 0.3760 0.6052

Properties
As for the total energy: -6.280 eV per atom. As for the symmetry: Imm2 (44).

***

(12)
LuGePd2: optimized geometry, GGA-PBEsol.

Unit cell a=7.1428 b=7.0330 c=5.4566 alpha=90.00 beta=90.00 gamma=90.00
Element x y z (fractional)
Lu1 0.0263 0.2500 0.1433
Lu2 0.4737 0.7500 0.6433
Lu3 0.5263 0.2500 0.3567
Lu4 0.9737 0.7500 0.8567
Ge1 0.1177 0.7500 0.3584
Ge2 0.3823 0.2500 0.8584
Ge3 0.6177 0.7500 0.1416
Ge4 0.8823 0.2500 0.6416
Pd1 0.1852 0.0509 0.5853
Pd2 0.1852 0.4491 0.5853
Pd3 0.3148 0.5509 0.0853
Pd4 0.3148 0.9491 0.0853
Pd5 0.6852 0.0509 0.9147
Pd6 0.6852 0.4491 0.9147
Pd7 0.8148 0.5509 0.4147
Pd8 0.8148 0.9491 0.4147

Properties
As for the total energy: -6.379 eV per atom. As for the symmetry: Pnma (62).

***

(13)
Lu4Ge6Rh7: optimized geometry, GGA-PBEsol.

Unit cell a=7.0861 b=7.0861 c=7.0861 alpha=109.47 beta=109.47 gamma=109.47
Element x y z (fractional)
Lu1 0.0000 0.0000 0.5000
Lu2 0.0000 0.5000 0.0000
Lu3 0.5000 0.0000 0.0000
Lu4 0.5000 0.5000 0.5000
Ge1 0.0000 0.3168 0.3168
Ge2 0.0000 0.6832 0.6832
Ge3 0.3168 0.0000 0.3168
Ge4 0.3168 0.3168 0.0000
Ge5 0.6832 0.0000 0.6832
Ge6 0.6832 0.6832 0.0000
Rh1 0.0000 0.0000 0.0000
Rh2 0.2500 0.5000 0.7500
Rh3 0.2500 0.7500 0.5000
Rh4 0.5000 0.2500 0.7500
Rh5 0.5000 0.7500 0.2500
Rh6 0.7500 0.2500 0.5000
Rh7 0.7500 0.5000 0.2500

Properties
As for the total energy: -7.250 eV per atom. As for the symmetry: Im-3m (229).

***

(14)
LuGeRu: optimized geometry, GGA-PBEsol.

Unit cell a=6.8093 b=4.3055 c=7.1153 alpha=90.00 beta=90.00 gamma=90.00
Element x y z (fractional)
Lu1 0.0107 0.2500 0.1920
Lu2 0.4893 0.7500 0.6920
Lu3 0.5107 0.2500 0.3080
Lu4 0.9893 0.7500 0.8080
Ge1 0.2068 0.2500 0.6088
Ge2 0.2932 0.7500 0.1088
Ge3 0.7068 0.2500 0.8912
Ge4 0.7932 0.7500 0.3912
Ru1 0.1570 0.7500 0.4391
Ru2 0.3430 0.2500 0.9391
Ru3 0.6570 0.7500 0.0609
Ru4 0.8430 0.2500 0.5609

Properties
As for the total energy: -7.416 eV per atom. As for the symmetry: Pnma (62).

***

(15)
Lu3Ge3Ru2: optimized geometry, GGA-PBEsol.

Unit cell a=5.6378 b=5.6378 c=13.5105 alpha=90.00 beta=90.00 gamma=136.49
Element x y z (fractional)
Lu1 0.0770 0.9230 0.6131
Lu2 0.0770 0.9230 0.8869
Lu3 0.3512 0.6488 0.7500
Lu4 0.6488 0.3512 0.2500
Lu5 0.9230 0.0770 0.1131
Lu6 0.9230 0.0770 0.3869
Ge1 0.3405 0.6595 0.2500
Ge2 0.3868 0.6132 0.5413
Ge3 0.3868 0.6132 0.9587
Ge4 0.6132 0.3868 0.0413
Ge5 0.6132 0.3868 0.4587
Ge6 0.6595 0.3405 0.7500
Ru1 0.2132 0.7868 0.0833
Ru2 0.2132 0.7868 0.4166
Ru3 0.7868 0.2132 0.5834
Ru4 0.7868 0.2132 0.9166

Properties
As for the total energy: -7.030 eV per atom. As for the symmetry: Cmcm (63).

***

(16)
LuTiGe: optimized geometry, GGA-PBEsol.

Unit cell a=3.9520 b=3.9520 c=7.4171 alpha=90.00 beta=90.00 gamma=90.00
Element x y z (fractional)
Lu1 0.2500 0.2500 0.1570
Lu2 0.7500 0.7500 0.8430
Ti1 0.2500 0.7500 0.5000
Ti2 0.7500 0.2500 0.5000
Ge1 0.2500 0.2500 0.7529
Ge2 0.7500 0.7500 0.2471

Properties
As for the total energy: -6.789 eV per atom. As for the symmetry: P4/nmm (129).

***

(17)
MgMnGe2O6: optimized geometry, GGA-PBEsol.

Unit cell a=6.6617 b=6.6617 c=5.1945 alpha=97.27 beta=97.27 gamma=86.29
Element x y z (fractional)
Mg1 0.2271 0.7729 0.7500
Mg2 0.7729 0.2271 0.2500
Mn1 0.4057 0.5943 0.2500
Mn2 0.5943 0.4057 0.7500
Ge1 0.1043 0.2927 0.7872
Ge2 0.2927 0.1043 0.2872
Ge3 0.7073 0.8957 0.7128
Ge4 0.8957 0.7073 0.2128
O1 0.0695 0.2093 0.0986
O2 0.1235 0.6454 0.3868
O3 0.2093 0.0695 0.5986
O4 0.2861 0.4769 0.8616
O5 0.3546 0.8765 0.1132
O6 0.4769 0.2861 0.3616
O7 0.5231 0.7139 0.6384
O8 0.6454 0.1235 0.8868
O9 0.7139 0.5231 0.1384
O10 0.7907 0.9305 0.4014
O11 0.8765 0.3546 0.6132
O12 0.9305 0.7907 0.9014

Properties
As for the symmetry: C2/c (15). The uncorrected formation energy is -18.4 eV per formula unit.

***

(18)
Mg3GeMo: optimized geometry, GGA-PBEsol.

Unit cell a=5.0783 b=5.0783 c=5.0783 alpha=90.00 beta=90.00 gamma=90.00
Element x y z (fractional)
Mg1 0.0000 0.0000 0.5000
Mg2 0.0000 0.5000 0.0000
Mg3 0.5000 0.0000 0.0000
Ge1 0.5000 0.5000 0.5000
Mo1 0.0000 0.0000 0.0000

Properties
As for the total energy: -3.091 eV per atom. As for the symmetry: Pm-3m (221).

***

(19)
Mg2NiGeMo: optimized geometry, GGA-PBEsol.

Unit cell a=4.8346 b=4.8346 c=4.2235 alpha=90.00 beta=90.00 gamma=90.00
Element x y z (fractional)
Mg1 0.0000 0.5000 0.0000
Mg2 0.5000 0.0000 0.0000
Ni1 0.0000 0.0000 0.5000
Ge1 0.0000 0.0000 0.0000
Mo1 0.5000 0.5000 0.5000

Properties
As for the total energy: -4.257 eV per atom. As for the symmetry: P4/mmm (123).

***

(20)
Mg3GeN: optimized geometry, GGA-PBEsol.

Unit cell a=4.2404 b=4.2404 c=4.2404 alpha=90.00 beta=90.00 gamma=90.00
Element x y z (fractional)
Mg1 0.0000 0.0000 0.5000
Mg2 0.0000 0.5000 0.0000
Mg3 0.5000 0.0000 0.0000
Ge1 0.5000 0.5000 0.5000
N1 0.0000 0.0000 0.0000

Properties
As for the symmetry: Pm-3m (221). The uncorrected formation energy is -2.5 eV per formula unit.

***

| no. | size of the total moment (μB per atom) | calculated volume (Å³ per atom) | density of states at the Fermi level (states/eV/atom) |
| --- | --- | --- | --- |
| 1 | 0.000 | 22.7 | 0.71 |
| 2 | 0.000 | 19.8 | 0.08 |
| 3 | 0.000 | 14.8 | 0.12 |
| 4 | 0.000 | 17.8 | 0.15 |
| 5 | 0.005 | 18.6 | 0.77 |
| 6 | 0.000 | 16.1 | 0.49 |
| 7 | 0.859 | 13.7 | 0.49 |
| 8 | 0.000 | 16.2 | 0.50 |
| 9 | 0.000 | 17.3 | 0.33 |
| 10 | 0.000 | 16.2 | 0.95 |
| 11 | 0.000 | 18.0 | 0.31 |
| 12 | 0.000 | 17.1 | 0.30 |
| 13 | 0.000 | 16.1 | 0.49 |
| 14 | 0.000 | 17.4 | 0.81 |
| 15 | 0.000 | 18.5 | 0.39 |
| 16 | 0.000 | 19.3 | 0.87 |
| 17 | 0.500 | 11.3 | 0.36 |
| 18 | 0.312 | 26.2 | 1.04 |
| 19 | 0.548 | 19.7 | 0.78 |
| 20 | 0.000 | 15.2 | 0.62 |